# YMg2Hg, relaxed, DFT PBE
# - magnetization (μB/f.u.) = 0.0
# - calculated formation energy (eV/atom) = -0.07
# - raw total energy (eV/atom) = -2.562
data_YMg2Hg
_cell_length_a 3.5093
_cell_length_b 3.5093
_cell_length_c 29.2889
_cell_angle_alpha 90.00
_cell_angle_beta 90.00
_cell_angle_gamma 120.00
_space_group_name_H-M_alt 'R -3 m'
_space_group_IT_number 166
_space_group_name_Hall '-R 3 2"'
loop_
_atom_site_label
_atom_site_type_symbol
_atom_site_fract_x
_atom_site_fract_y
_atom_site_fract_z
_atom_site_occupancy
Y1 Y 0.0000 0.0000 0.0000 1
Mg1 Mg 0.0000 0.0000 0.2404 1
Hg1 Hg 0.0000 0.0000 0.5000 1

=====

# NaMg2Zn, relaxed, DFT PBE
# - magnetization (μB/f.u.) = 0.0
# - calculated formation energy (eV/atom) = 0.08
# - raw total energy (eV/atom) = -1.366
data_NaMg2Zn
_cell_length_a 4.5048
_cell_length_b 4.5048
_cell_length_c 4.4102
_cell_angle_alpha 90.00
_cell_angle_beta 90.00
_cell_angle_gamma 90.00
_space_group_name_H-M_alt 'P 4/m m m'
_space_group_IT_number 123
_space_group_name_Hall '-P 4 2'
loop_
_atom_site_label
_atom_site_type_symbol
_atom_site_fract_x
_atom_site_fract_y
_atom_site_fract_z
_atom_site_occupancy
Na1 Na 0.0000 0.0000 0.0000 1
Mg1 Mg 0.0000 0.5000 0.5000 1
Zn1 Zn 0.5000 0.5000 0.0000 1

=====

# LiFe2Br, relaxed, DFT PBE
# - magnetization (μB/f.u.) = 6.1
# - raw total energy (eV/atom) = -4.437
# - energy relative to the elements, uncorrected (eV per atom) = 0.691
data_LiFe2Br
_cell_length_a 3.0623
_cell_length_b 5.0757
_cell_length_c 8.7017
_cell_angle_alpha 90.00
_cell_angle_beta 90.00
_cell_angle_gamma 90.00
_space_group_name_H-M_alt 'C m m m'
_space_group_IT_number 65
_space_group_name_Hall '-C 2 2'
loop_
_atom_site_label
_atom_site_type_symbol
_atom_site_fract_x
_atom_site_fract_y
_atom_site_fract_z
_atom_site_occupancy
Li1 Li 0.0000 0.0000 0.0000 1
Fe1 Fe 0.0000 0.5000 0.2551 1
Br1 Br 0.0000 0.0000 0.5000 1

=====

# LaAl2P, relaxed, DFT PBE
# - magnetization (μB/f.u.) = 0.0
# - calculated formation energy (eV/atom) = -0.28
# - raw total energy (eV/atom) = -4.737
data_LaAl2P
_cell_length_a 3.7222
_cell_length_b 3.7222
_cell_length_c 23.4932
_cell_angle_alpha 90.00
_cell_angle_beta 90.00
_cell_angle_gamma 120.00
_space_group_name_H-M_alt 'R 3 m'
_space_group_IT_number 160
_space_group_name_Hall 'R 3 -2"'
loop_
_atom_site_label
_atom_site_type_symbol
_atom_site_fract_x
_atom_site_fract_y
_atom_site_fract_z
_atom_site_occupancy
La1 La 0.0000 0.0000 0.0000 1
Al1 Al 0.0000 0.0000 0.2227 1
Al2 Al 0.0000 0.0000 0.4690 1
P1 P 0.0000 0.0000 0.7532 1

=====

# Tl3I2Br, relaxed, DFT PBE
# - magnetization (μB/f.u.) = 0.0
# - raw total energy (eV/atom) = -2.705
# - energy relative to the elements, uncorrected (eV per atom) = -0.726
data_Tl3I2Br
_cell_length_a 4.9307
_cell_length_b 7.0108
_cell_length_c 14.8041
_cell_angle_alpha 90.00
_cell_angle_beta 90.00
_cell_angle_gamma 90.00
_space_group_name_H-M_alt 'I m m m'
_space_group_IT_number 71
_space_group_name_Hall '-I 2 2'
loop_
_atom_site_label
_atom_site_type_symbol
_atom_site_fract_x
_atom_site_fract_y
_atom_site_fract_z
_atom_site_occupancy
Tl1 Tl 0.0000 0.0000 0.0000 1
Tl2 Tl 0.0000 0.0000 0.3436 1
I1 I 0.0000 0.5000 0.3296 1
Br1 Br 0.0000 0.5000 0.0000 1

=====

# SrYGaS4, relaxed, DFT PBE
# - magnetization (μB/f.u.) = 0.0
# - raw total energy (eV/atom) = -5.526
# - energy relative to the elements, uncorrected (eV per atom) = -1.571
data_SrYGaS4
_cell_length_a 6.5506
_cell_length_b 6.7045
_cell_length_c 8.0509
_cell_angle_alpha 90.00
_cell_angle_beta 107.03
_cell_angle_gamma 90.00
_space_group_name_H-M_alt 'P 1 21/m 1'
_space_group_IT_number 11
_space_group_name_Hall '-P 2yb'
loop_
_atom_site_label
_atom_site_type_symbol
_atom_site_fract_x
_atom_site_fract_y
_atom_site_fract_z
_atom_site_occupancy
Sr1 Sr 0.2477 0.2500 0.0599 1
Y1 Y 0.2213 0.2500 0.5543 1
Ga1 Ga 0.2411 0.7500 0.3208 1
S1 S 0.0017 0.5054 0.7290 1
S2 S 0.4432 0.7500 0.1380 1
S3 S 0.4540 0.7500 0.5960 1

=====

# HgPb2Cl, relaxed, DFT PBE
# - magnetization (μB/f.u.) = 0.0
# - raw total energy (eV/atom) = -2.647
# - energy relative to the elements, uncorrected (eV per atom) = -0.256
data_HgPb2Cl
_cell_length_a 3.6068
_cell_length_b 5.9483
_cell_length_c 10.5614
_cell_angle_alpha 90.00
_cell_angle_beta 90.00
_cell_angle_gamma 90.00
_space_group_name_H-M_alt 'C m m m'
_space_group_IT_number 65
_space_group_name_Hall '-C 2 2'
loop_
_atom_site_label
_atom_site_type_symbol
_atom_site_fract_x
_atom_site_fract_y
_atom_site_fract_z
_atom_site_occupancy
Hg1 Hg 0.0000 0.0000 0.0000 1
Pb1 Pb 0.0000 0.5000 0.2685 1
Cl1 Cl 0.0000 0.0000 0.5000 1

=====

# Ho6ScIn3, relaxed, DFT PBE
# - magnetization (μB/f.u.) = 0.0
# - calculated formation energy (eV/atom) = -0.26
# - raw total energy (eV/atom) = -4.466
data_Ho6ScIn3
_cell_length_a 9.7462
_cell_length_b 5.2038
_cell_length_c 11.4055
_cell_angle_alpha 90.00
_cell_angle_beta 105.34
_cell_angle_gamma 90.00
_space_group_name_H-M_alt 'P 1 21/m 1'
_space_group_IT_number 11
_space_group_name_Hall '-P 2yb'
loop_
_atom_site_label
_atom_site_type_symbol
_atom_site_fract_x
_atom_site_fract_y
_atom_site_fract_z
_atom_site_occupancy
Ho1 Ho 0.0532 0.2500 0.4096 1
Ho2 Ho 0.1572 0.7500 0.1822 1
Ho3 Ho 0.2468 0.2500 0.0010 1
Ho4 Ho 0.3237 0.7500 0.7977 1
Ho5 Ho 0.3803 0.2500 0.3161 1
Ho6 Ho 0.3903 0.2500 0.6144 1
Sc1 Sc 0.4617 0.7500 0.0963 1
In1 In 0.0362 0.7500 0.8899 1
In2 In 0.1197 0.2500 0.7118 1
In3 In 0.2794 0.7500 0.4712 1

=====

# HoTm3Sc5, relaxed, DFT PBE
# - magnetization (μB/f.u.) = 0.0
# - calculated formation energy (eV/atom) = 0.30
# - raw total energy (eV/atom) = -5.214
data_HoTm3Sc5
_cell_length_a 8.3049
_cell_length_b 8.3049
_cell_length_c 14.1034
_cell_angle_alpha 90.00
_cell_angle_beta 90.00
_cell_angle_gamma 90.00
_space_group_name_H-M_alt 'I 4/m c m'
_space_group_IT_number 140
_space_group_name_Hall '-I 4 2c'
loop_
_atom_site_label
_atom_site_type_symbol
_atom_site_fract_x
_atom_site_fract_y
_atom_site_fract_z
_atom_site_occupancy
Ho1 Ho 0.0000 0.5000 0.2500 1
Tm1 Tm 0.0000 0.0000 0.2500 1
Tm2 Tm 0.1185 0.3815 0.0000 1
Sc1 Sc 0.0000 0.0000 0.0000 1
Sc2 Sc 0.2048 0.2952 0.3657 1

=====

# Tb2Th3ScSe6, relaxed, DFT PBE
# - magnetization (μB/f.u.) = 0.0
# - raw total energy (eV/atom) = -6.505
# - energy relative to the elements, uncorrected (eV per atom) = -1.608
data_Tb2Th3ScSe6
_cell_length_a 18.4004
_cell_length_b 4.0173
_cell_length_c 8.4549
_cell_angle_alpha 90.00
_cell_angle_beta 108.80
_cell_angle_gamma 90.00
_space_group_name_H-M_alt 'C 1 2/m 1'
_space_group_IT_number 12
_space_group_name_Hall '-C 2y'
loop_
_atom_site_label
_atom_site_type_symbol
_atom_site_fract_x
_atom_site_fract_y
_atom_site_fract_z
_atom_site_occupancy
Tb1 Tb 0.1655 0.0000 0.3310 1
Th1 Th 0.0000 0.5000 0.5000 1
Th2 Th 0.1683 0.0000 0.8332 1
Sc1 Sc 0.0000 0.5000 0.0000 1
Se1 Se 0.0016 0.0000 0.2296 1
Se2 Se 0.1580 0.5000 0.0866 1
Se3 Se 0.1705 0.5000 0.5738 1

=====

# AsPRhAu2, relaxed, DFT PBE
# - magnetization (μB/f.u.) = 0.0
# - calculated formation energy (eV/atom) = -0.08
# - raw total energy (eV/atom) = -4.874
data_AsPRhAu2
_cell_length_a 3.0260
_cell_length_b 3.7322
_cell_length_c 7.9748
_cell_angle_alpha 90.00
_cell_angle_beta 95.92
_cell_angle_gamma 90.00
_space_group_name_H-M_alt 'P 1 m 1'
_space_group_IT_number 6
_space_group_name_Hall 'P -2y'
loop_
_atom_site_label
_atom_site_type_symbol
_atom_site_fract_x
_atom_site_fract_y
_atom_site_fract_z
_atom_site_occupancy
As1 As 0.0000 0.0000 0.0000 1
P1 P 0.8718 0.5000 0.6499 1
Rh1 Rh 0.4278 0.5000 0.8705 1
Au1 Au 0.2627 0.5000 0.2382 1
Au2 Au 0.8234 0.0000 0.4547 1

=====

# BaNb3P, relaxed, DFT PBE
# - magnetization (μB/f.u.) = 0.0
# - calculated formation energy (eV/atom) = 2.72
# - raw total energy (eV/atom) = -4.788
data_BaNb3P
_cell_length_a 5.0660
_cell_length_b 5.0660
_cell_length_c 5.0660
_cell_angle_alpha 90.00
_cell_angle_beta 90.00
_cell_angle_gamma 90.00
_space_group_name_H-M_alt 'P m -3 m'
_space_group_IT_number 221
_space_group_name_Hall '-P 4 2 3'
loop_
_atom_site_label
_atom_site_type_symbol
_atom_site_fract_x
_atom_site_fract_y
_atom_site_fract_z
_atom_site_occupancy
Ba1 Ba 0.0000 0.0000 0.0000 1
Nb1 Nb 0.0000 0.0000 0.5000 1
P1 P 0.5000 0.5000 0.5000 1

=====

# ScRuAu2F, relaxed, DFT PBE
# - magnetization (μB/f.u.) = 0.0
# - raw total energy (eV/atom) = -4.654
# - energy relative to the elements, uncorrected (eV per atom) = 0.153
data_ScRuAu2F
_cell_length_a 4.7959
_cell_length_b 4.7959
_cell_length_c 3.9520
_cell_angle_alpha 90.00
_cell_angle_beta 90.00
_cell_angle_gamma 90.00
_space_group_name_H-M_alt 'P 4/m m m'
_space_group_IT_number 123
_space_group_name_Hall '-P 4 2'
loop_
_atom_site_label
_atom_site_type_symbol
_atom_site_fract_x
_atom_site_fract_y
_atom_site_fract_z
_atom_site_occupancy
Sc1 Sc 0.0000 0.0000 0.0000 1
Ru1 Ru 0.5000 0.5000 0.0000 1
Au1 Au 0.0000 0.5000 0.5000 1
F1 F 0.5000 0.5000 0.5000 1

=====

# CdMoS2N, relaxed, DFT PBE
# - magnetization (μB/f.u.) = 0.0
# - raw total energy (eV/atom) = -3.856
# - energy relative to the elements, uncorrected (eV per atom) = 1.809
data_CdMoS2N
_cell_length_a 4.8672
_cell_length_b 4.8672
_cell_length_c 3.9779
_cell_angle_alpha 90.00
_cell_angle_beta 90.00
_cell_angle_gamma 90.00
_space_group_name_H-M_alt 'P 4/m m m'
_space_group_IT_number 123
_space_group_name_Hall '-P 4 2'
loop_
_atom_site_label
_atom_site_type_symbol
_atom_site_fract_x
_atom_site_fract_y
_atom_site_fract_z
_atom_site_occupancy
Cd1 Cd 0.0000 0.0000 0.0000 1
Mo1 Mo 0.5000 0.5000 0.5000 1
S1 S 0.0000 0.5000 0.0000 1
N1 N 0.0000 0.0000 0.5000 1

=====

# ThSiPd, relaxed, DFT PBE
# - magnetization (μB/f.u.) = 0.0
# - raw total energy (eV/atom) = -6.947
# - energy relative to the elements, uncorrected (eV per atom) = -0.935
data_ThSiPd
_cell_length_a 4.3617
_cell_length_b 4.3617
_cell_length_c 3.8486
_cell_angle_alpha 90.00
_cell_angle_beta 90.00
_cell_angle_gamma 120.00
_space_group_name_H-M_alt 'P 3 m 1'
_space_group_IT_number 156
_space_group_name_Hall 'P 3 -2"'
loop_
_atom_site_label
_atom_site_type_symbol
_atom_site_fract_x
_atom_site_fract_y
_atom_site_fract_z
_atom_site_occupancy
Th1 Th 0.0000 0.0000 0.0000 1
Si1 Si 0.6667 0.3333 0.5053 1
Pd1 Pd 0.3333 0.6667 0.4973 1

=====

# CoCuCl, relaxed, DFT PBE
# - magnetization (μB/f.u.) = 1.4
# - raw total energy (eV/atom) = -3.804
# - energy relative to the elements, uncorrected (eV per atom) = 0.546
data_CoCuCl
_cell_length_a 3.9661
_cell_length_b 3.9661
_cell_length_c 3.0892
_cell_angle_alpha 90.00
_cell_angle_beta 90.00
_cell_angle_gamma 120.00
_space_group_name_H-M_alt 'P -6 m 2'
_space_group_IT_number 187
_space_group_name_Hall 'P -6 2'
loop_
_atom_site_label
_atom_site_type_symbol
_atom_site_fract_x
_atom_site_fract_y
_atom_site_fract_z
_atom_site_occupancy
Co1 Co 0.0000 0.0000 0.0000 1
Cu1 Cu 0.6667 0.3333 0.5000 1
Cl1 Cl 0.3333 0.6667 0.0000 1

=====

# LaY3Er6Sc2, relaxed, DFT PBE
# - magnetization (μB/f.u.) = 0.0
# - calculated formation energy (eV/atom) = 0.05
# - raw total energy (eV/atom) = -5.318
data_LaY3Er6Sc2
_cell_length_a 6.0655
_cell_length_b 10.4973
_cell_length_c 11.6418
_cell_angle_alpha 90.00
_cell_angle_beta 99.95
_cell_angle_gamma 90.00
_space_group_name_H-M_alt 'C 1 2/m 1'
_space_group_IT_number 12
_space_group_name_Hall '-C 2y'
loop_
_atom_site_label
_atom_site_type_symbol
_atom_site_fract_x
_atom_site_fract_y
_atom_site_fract_z
_atom_site_occupancy
La1 La 0.0000 0.0000 0.0000 1
Y1 Y 0.0000 0.1675 0.5000 1
Y2 Y 0.0000 0.5000 0.5000 1
Er1 Er 0.2466 0.5000 0.2471 1
Er2 Er 0.2485 0.3318 0.7530 1
Sc1 Sc 0.0000 0.3335 0.0000 1

=====

# RbNaSn3, relaxed, DFT PBE
# - magnetization (μB/f.u.) = 0.0
# - calculated formation energy (eV/atom) = 0.98
# - raw total energy (eV/atom) = -1.875
data_RbNaSn3
_cell_length_a 6.1812
_cell_length_b 6.1812
_cell_length_c 6.1812
_cell_angle_alpha 90.00
_cell_angle_beta 90.00
_cell_angle_gamma 90.00
_space_group_name_H-M_alt 'P m -3 m'
_space_group_IT_number 221
_space_group_name_Hall '-P 4 2 3'
loop_
_atom_site_label
_atom_site_type_symbol
_atom_site_fract_x
_atom_site_fract_y
_atom_site_fract_z
_atom_site_occupancy
Rb1 Rb 0.0000 0.0000 0.0000 1
Na1 Na 0.5000 0.5000 0.5000 1
Sn1 Sn 0.0000 0.0000 0.5000 1

=====

# PmY3Er8, relaxed, DFT PBE
# - magnetization (μB/f.u.) = 0.0
# - calculated formation energy (eV/atom) = 0.68
# - raw total energy (eV/atom) = -4.378
data_PmY3Er8
_cell_length_a 8.6606
_cell_length_b 8.6606
_cell_length_c 11.2941
_cell_angle_alpha 90.00
_cell_angle_beta 90.00
_cell_angle_gamma 90.00
_space_group_name_H-M_alt 'I -4 2 m'
_space_group_IT_number 121
_space_group_name_Hall 'I -4 2'
loop_
_atom_site_label
_atom_site_type_symbol
_atom_site_fract_x
_atom_site_fract_y
_atom_site_fract_z
_atom_site_occupancy
Pm1 Pm 0.0000 0.0000 0.0000 1
Y1 Y 0.0000 0.0000 0.5000 1
Y2 Y 0.0000 0.5000 0.2500 1
Er1 Er 0.1265 0.1265 0.2449 1
Er2 Er 0.2443 0.2443 0.9876 1

=====

# TaBe2Fe, relaxed, DFT PBE
# - magnetization (μB/f.u.) = 0.0
# - calculated formation energy (eV/atom) = 0.00
# - raw total energy (eV/atom) = -6.941
data_TaBe2Fe
_cell_length_a 5.5974
_cell_length_b 5.5974
_cell_length_c 5.5974
_cell_angle_alpha 90.00
_cell_angle_beta 90.00
_cell_angle_gamma 90.00
_space_group_name_H-M_alt 'F m -3 m'
_space_group_IT_number 225
_space_group_name_Hall '-F 4 2 3'
loop_
_atom_site_label
_atom_site_type_symbol
_atom_site_fract_x
_atom_site_fract_y
_atom_site_fract_z
_atom_site_occupancy
Ta1 Ta 0.0000 0.0000 0.0000 1
Be1 Be 0.2500 0.2500 0.2500 1
Fe1 Fe 0.0000 0.0000 0.5000 1